No. 1
# K2TmZnTe4 (PBE, optimized geometry)
data_K2TmZnTe4
_cell_length_a 7.101
_cell_length_b 7.101
_cell_length_c 7.101
_cell_angle_alpha 106.47
_cell_angle_beta 106.47
_cell_angle_gamma 115.66
_space_group_name_H-M_alt 'P 1'
_space_group_IT_number 1
loop_
_space_group_symop_operation_xyz
'x,y,z'
loop_
_atom_site_label
_atom_site_type_symbol
_atom_site_fract_x
_atom_site_fract_y
_atom_site_fract_z
_atom_site_occupancy
K1 K 0.000 0.500 0.500 1
K2 K 0.500 0.000 0.500 1
Tm1 Tm 0.000 0.000 0.000 1
Zn1 Zn 0.500 0.500 0.000 1
Te1 Te 0.099 0.099 0.651 1
Te2 Te 0.449 0.449 0.349 1
Te3 Te 0.551 0.901 0.000 1
Te4 Te 0.901 0.551 0.000 1
# **N(E_F)**: 1.034 states/eV/atom
# **Formation energy without anion corrections**: -638 kJ/mol of formula units


No. 2
# AcYSb2Pd2 (PBE, optimized geometry)
data_AcYSb2Pd2
_cell_length_a 4.650
_cell_length_b 4.650
_cell_length_c 8.062
_cell_angle_alpha 90.00
_cell_angle_beta 90.00
_cell_angle_gamma 120.00
_space_group_name_H-M_alt 'P 1'
_space_group_IT_number 1
loop_
_space_group_symop_operation_xyz
'x,y,z'
loop_
_atom_site_label
_atom_site_type_symbol
_atom_site_fract_x
_atom_site_fract_y
_atom_site_fract_z
_atom_site_occupancy
Ac1 Ac 0.000 0.000 0.000 1
Y1 Y 0.000 0.000 0.500 1
Sb1 Sb 0.333 0.667 0.265 1
Sb2 Sb 0.667 0.333 0.735 1
Pd1 Pd 0.333 0.667 0.707 1
Pd2 Pd 0.667 0.333 0.293 1
# **N(E_F)**: 0.142 states/eV/atom
# **Formation energy without anion corrections**: -625 kJ/mol of formula units


No. 3
# Tc2AsPb (PBE, optimized geometry)
data_Tc2AsPb
_cell_length_a 9.485
_cell_length_b 9.485
_cell_length_c 9.485
_cell_angle_alpha 154.04
_cell_angle_beta 154.04
_cell_angle_gamma 37.04
_space_group_name_H-M_alt 'P 1'
_space_group_IT_number 1
loop_
_space_group_symop_operation_xyz
'x,y,z'
loop_
_atom_site_label
_atom_site_type_symbol
_atom_site_fract_x
_atom_site_fract_y
_atom_site_fract_z
_atom_site_occupancy
Tc1 Tc 0.024 0.625 0.899 1
Tc2 Tc 0.375 0.274 0.399 1
Tc3 Tc 0.726 0.125 0.101 1
Tc4 Tc 0.875 0.976 0.601 1
As1 As 0.000 0.000 0.000 1
As2 As 0.750 0.250 0.500 1
Pb1 Pb 0.250 0.750 0.500 1
Pb2 Pb 0.500 0.500 0.000 1
# **N(E_F)**: 0.913 states/eV/atom
# **Excess energy over the best structure of this formula in the dataset**: 41.4 kJ/mol of atoms
# **Formation enthalpy at 0 K**: 0.57 eV per atom


No. 4
# HgP2BrO (PBE, optimized geometry)
data_HgP2BrO
_cell_length_a 5.117
_cell_length_b 5.117
_cell_length_c 4.164
_cell_angle_alpha 90.00
_cell_angle_beta 90.00
_cell_angle_gamma 90.00
_space_group_name_H-M_alt 'P 1'
_space_group_IT_number 1
loop_
_space_group_symop_operation_xyz
'x,y,z'
loop_
_atom_site_label
_atom_site_type_symbol
_atom_site_fract_x
_atom_site_fract_y
_atom_site_fract_z
_atom_site_occupancy
Hg1 Hg 0.000 0.000 0.000 1
P1 P 0.000 0.500 0.000 1
P2 P 0.500 0.000 0.000 1
Br1 Br 0.500 0.500 0.500 1
O1 O 0.000 0.000 0.500 1
# **N(E_F)**: 0.845 states/eV/atom
# **Excess energy over the best structure of this formula in the dataset**: 0.0 kJ/mol of atoms
# **Formation energy without anion corrections**: 527 kJ/mol of formula units


No. 5
# Pm2Tm3Tl (PBE, optimized geometry)
data_Pm2Tm3Tl
_cell_length_a 9.437
_cell_length_b 9.437
_cell_length_c 9.437
_cell_angle_alpha 159.01
_cell_angle_beta 45.43
_cell_angle_gamma 140.19
_space_group_name_H-M_alt 'P 1'
_space_group_IT_number 1
loop_
_space_group_symop_operation_xyz
'x,y,z'
loop_
_atom_site_label
_atom_site_type_symbol
_atom_site_fract_x
_atom_site_fract_y
_atom_site_fract_z
_atom_site_occupancy
Pm1 Pm 0.191 0.000 0.191 1
Pm2 Pm 0.809 0.000 0.809 1
Tm1 Tm 0.373 0.507 0.866 1
Tm2 Tm 0.642 0.507 0.134 1
Tm3 Tm 0.803 0.303 0.500 1
Tl1 Tl 0.218 0.218 0.000 1
# **N(E_F)**: 1.255 states/eV/atom
# **Excess energy over the best structure of this formula in the dataset**: 20.1 kJ/mol of atoms
# **Formation enthalpy at 0 K**: 0.11 eV per atom


No. 6
# ThUCo5Si2 (PBE, optimized geometry)
data_ThUCo5Si2
_cell_length_a 3.967
_cell_length_b 3.967
_cell_length_c 8.392
_cell_angle_alpha 90.00
_cell_angle_beta 90.00
_cell_angle_gamma 90.00
_space_group_name_H-M_alt 'P 1'
_space_group_IT_number 1
loop_
_space_group_symop_operation_xyz
'x,y,z'
loop_
_atom_site_label
_atom_site_type_symbol
_atom_site_fract_x
_atom_site_fract_y
_atom_site_fract_z
_atom_site_occupancy
Th1 Th 0.000 0.000 0.000 1
U1 U 0.000 0.000 0.500 1
Co1 Co 0.000 0.500 0.236 1
Co2 Co 0.000 0.500 0.764 1
Co3 Co 0.500 0.000 0.236 1
Co4 Co 0.500 0.000 0.764 1
Co5 Co 0.500 0.500 0.000 1
Si1 Si 0.500 0.500 0.356 1
Si2 Si 0.500 0.500 0.644 1
# **N(E_F)**: 1.097 states/eV/atom
# **Formation energy without anion corrections**: -309 kJ/mol of formula units


No. 7
# Tb5Ge10Ir4 (PBE, optimized geometry)
data_Tb5Ge10Ir4
_cell_length_a 13.053
_cell_length_b 13.053
_cell_length_c 4.362
_cell_angle_alpha 90.00
_cell_angle_beta 90.00
_cell_angle_gamma 90.00
_space_group_name_H-M_alt 'P 1'
_space_group_IT_number 1
loop_
_space_group_symop_operation_xyz
'x,y,z'
loop_
_atom_site_label
_atom_site_type_symbol
_atom_site_fract_x
_atom_site_fract_y
_atom_site_fract_z
_atom_site_occupancy
Tb1 Tb 0.000 0.000 0.000 1
Tb2 Tb 0.115 0.385 0.500 1
Tb3 Tb 0.174 0.674 0.500 1
Tb4 Tb 0.326 0.174 0.500 1
Tb5 Tb 0.385 0.885 0.500 1
Tb6 Tb 0.500 0.500 0.000 1
Tb7 Tb 0.615 0.115 0.500 1
Tb8 Tb 0.674 0.826 0.500 1
Tb9 Tb 0.826 0.326 0.500 1
Tb10 Tb 0.885 0.615 0.500 1
Ge1 Ge 0.003 0.843 0.500 1
Ge2 Ge 0.067 0.567 0.000 1
Ge3 Ge 0.157 0.003 0.500 1
Ge4 Ge 0.163 0.200 0.000 1
Ge5 Ge 0.200 0.837 0.000 1
Ge6 Ge 0.300 0.337 0.000 1
Ge7 Ge 0.337 0.700 0.000 1
Ge8 Ge 0.343 0.503 0.500 1
Ge9 Ge 0.433 0.067 0.000 1
Ge10 Ge 0.497 0.343 0.500 1
Ge11 Ge 0.503 0.657 0.500 1
Ge12 Ge 0.567 0.933 0.000 1
Ge13 Ge 0.657 0.497 0.500 1
Ge14 Ge 0.663 0.300 0.000 1
Ge15 Ge 0.700 0.663 0.000 1
Ge16 Ge 0.800 0.163 0.000 1
Ge17 Ge 0.837 0.800 0.000 1
Ge18 Ge 0.843 0.997 0.500 1
Ge19 Ge 0.933 0.433 0.000 1
Ge20 Ge 0.997 0.157 0.500 1
Ir1 Ir 0.020 0.754 0.000 1
Ir2 Ir 0.246 0.020 0.000 1
Ir3 Ir 0.254 0.520 0.000 1
Ir4 Ir 0.480 0.254 0.000 1
Ir5 Ir 0.520 0.746 0.000 1
Ir6 Ir 0.746 0.480 0.000 1
Ir7 Ir 0.754 0.980 0.000 1
Ir8 Ir 0.980 0.246 0.000 1
# **N(E_F)**: 0.476 states/eV/atom
# **Formation enthalpy at 0 K**: -0.78 eV per atom


No. 8
# Cs3P2PbS8 (PBE, optimized geometry)
data_Cs3P2PbS8
_cell_length_a 7.194
_cell_length_b 7.194
_cell_length_c 10.140
_cell_angle_alpha 90.00
_cell_angle_beta 90.00
_cell_angle_gamma 120.00
_space_group_name_H-M_alt 'P 1'
_space_group_IT_number 1
loop_
_space_group_symop_operation_xyz
'x,y,z'
loop_
_atom_site_label
_atom_site_type_symbol
_atom_site_fract_x
_atom_site_fract_y
_atom_site_fract_z
_atom_site_occupancy
Cs1 Cs 0.000 0.000 0.000 1
Cs2 Cs 0.333 0.667 0.672 1
Cs3 Cs 0.667 0.333 0.328 1
P1 P 0.333 0.667 0.246 1
P2 P 0.667 0.333 0.754 1
Pb1 Pb 0.000 0.000 0.500 1
S1 S 0.174 0.349 0.304 1
S2 S 0.174 0.826 0.304 1
S3 S 0.333 0.667 0.047 1
S4 S 0.349 0.174 0.696 1
S5 S 0.651 0.826 0.304 1
S6 S 0.667 0.333 0.953 1
S7 S 0.826 0.174 0.696 1
S8 S 0.826 0.651 0.696 1
# **N(E_F)**: 0.805 states/eV/atom
# **Formation energy without anion corrections**: -881 kJ/mol of formula units


Question: Number 3 is which compound?
Answer: Tc2AsPb